[1]
# Be2BiS (meta-GGA SCAN, single point on PBEsol structure)
data_Be2BiS
_cell_length_a 6.363
_cell_length_b 6.363
_cell_length_c 6.363
_cell_angle_alpha 90.00
_cell_angle_beta 90.00
_cell_angle_gamma 90.00
_symmetry_space_group_name_H-M 'F m -3 m'
_symmetry_Int_Tables_number 225
_symmetry_space_group_name_Hall '-F 4 2 3'
loop_
_atom_site_label
_atom_site_type_symbol
_atom_site_fract_x
_atom_site_fract_y
_atom_site_fract_z
_atom_site_occupancy
Be1 Be 0.250 0.250 0.250 1
Bi1 Bi 0.000 0.000 0.000 1
S1 S 0.000 0.000 0.500 1
# Raw formation energy   0.8506 eV per atom
# DOS at the Fermi energy   7.1 states/eV per cell
# Calculated total energy   -374.05 eV for the cell shown
# Theoretical density   6.7 Mg/m³


[2]
# Te3W2Se (meta-GGA SCAN, single point on PBEsol structure)
data_Te3W2Se
_cell_length_a 3.4351
_cell_length_b 3.4351
_cell_length_c 27.5672
_cell_angle_alpha 90.00
_cell_angle_beta 90.00
_cell_angle_gamma 120.00
_symmetry_space_group_name_H-M 'P -6 m 2'
_symmetry_Int_Tables_number 187
_symmetry_space_group_name_Hall 'P -6 2'
loop_
_atom_site_label
_atom_site_type_symbol
_atom_site_fract_x
_atom_site_fract_y
_atom_site_fract_z
_atom_site_occupancy
Te1 Te 0.0000 0.0000 0.0667 1
Te2 Te 0.3333 0.6667 0.1889 1
Te3 Te 0.3333 0.6667 0.3226 1
W1 W 0.0000 0.0000 0.2557 1
W2 W 0.3333 0.6667 0.0000 1
W3 W 0.3333 0.6667 0.5000 1
Se1 Se 0.0000 0.0000 0.4413 1
# Raw formation energy   -0.1267 eV per atom
# Calculated total energy   -543.94 eV for the cell shown
# Theoretical density   9.8 Mg/m³


[3]
# CeHg3 (meta-GGA SCAN, single point on PBEsol structure)
data_CeHg3
_cell_length_a 6.6788
_cell_length_b 6.6788
_cell_length_c 4.9297
_cell_angle_alpha 90.00
_cell_angle_beta 90.00
_cell_angle_gamma 120.00
_symmetry_space_group_name_H-M 'P 63/m m c'
_symmetry_Int_Tables_number 194
_symmetry_space_group_name_Hall '-P 6c 2c'
loop_
_atom_site_label
_atom_site_type_symbol
_atom_site_fract_x
_atom_site_fract_y
_atom_site_fract_z
_atom_site_occupancy
Ce1 Ce 0.3333 0.6667 0.2500 1
Hg1 Hg 0.1634 0.3267 0.7500 1
# Formation enthalpy at 0 K   -10.62 kcal/mol of atoms
# DOS at the Fermi energy   10.5 states/eV per cell
# Calculated total energy   -501.81 eV for the cell shown
# Theoretical density   12.9 Mg/m³


- calculated total energy of number 3 (CeHg3)?
  -501.81 eV for the cell shown


- The lowest theoretical density belongs to which entry?
  Be2BiS